1.
This record from the Alexandria database describes an optimized crystal structure of KInGa2F. The functional is GGA-PBE.

The structure belongs to space group P4/mmm (No. 123); the cell edges are 5.4905, 5.4905 and 4.7837 Å and the angles 90.00°, 90.00° and 90.00°. The asymmetric unit holds K at (0.0000, 0.0000, 0.0000), In at (0.5000, 0.5000, 0.5000), Ga at (0.0000, 0.5000, 0.5000) and F at (0.5000, 0.5000, 0.0000).

Its formation energy without anion corrections is -0.431 eV per atom.

2.
This record from the Alexandria database describes an optimized crystal structure of KInGaF6. The functional is GGA-PBE.

The structure belongs to space group P312 (No. 149); the cell edges are 5.7921, 5.7921 and 4.8694 Å and the angles 90.00°, 90.00° and 120.00°. The asymmetric unit holds K at (0.0000, 0.0000, 0.0000), In at (0.6667, 0.3333, 0.5000), Ga at (0.3333, 0.6667, 0.0000) and F at (0.0387, 0.4140, 0.2332).

Its formation energy without anion corrections is -2.434 eV per atom.

3.
This record from the Alexandria database describes an optimized crystal structure of Li2InGaF6. The functional is GGA-PBE.

The structure belongs to space group P-1 (No. 2); the cell edges are 5.3108, 5.3132 and 6.6158 Å and the angles 66.37°, 66.47° and 60.07°. The asymmetric unit holds Li at (0.1844, 0.1834, 0.4482), In at (0.0000, 0.0000, 0.0000), Ga at (0.5000, 0.5000, 0.5000), F at (0.1309, 0.7470, 0.6736), F at (0.2532, 0.5507, 0.3258) and F at (0.4489, 0.1305, 0.6739).

Its formation energy without anion corrections is -2.577 eV per atom.